{"formula": "CaBi2S4", "functional": "GGA-PBE", "state": "optimized geometry", "cell": [[-2.691, -2.839, -0.722], [4.480, -0.120, -5.267], [7.690, -9.004, 6.745]], "species": ["Bi", "S", "S", "S", "Bi", "Bi", "S", "S", "S", "Bi", "S", "S", "Ca", "Ca"], "frac_coords": [[0.866, 0.733, 0.574], [0.776, 0.552, 0.379], [0.500, 0.000, 0.000], [0.967, 0.934, 0.750], [0.134, 0.267, 0.426], [0.866, 0.733, 0.926], [0.033, 0.066, 0.250], [0.224, 0.448, 0.621], [0.224, 0.448, 0.879], [0.134, 0.267, 0.074], [0.776, 0.552, 0.121], [0.500, 0.000, 0.500], [0.386, 0.771, 0.250], [0.614, 0.229, 0.750]], "polymorph_energy_ev_per_fu": 0.20, "e_form_raw_ev_per_atom": -0.828, "e_tot_ev_per_atom": -4.5810}

{"formula": "CaBi3S6", "functional": "GGA-PBE", "state": "optimized geometry", "cell": [[3.975, 0.000, 0.000], [0.000, 11.980, -0.042], [0.000, -4.037, 11.081]], "species": ["Bi", "Bi", "Bi", "Bi", "Bi", "S", "S", "S", "S", "S", "S", "S", "Ca", "Ca", "S", "S", "S", "S", "S", "Bi"], "frac_coords": [[0.250, 0.844, 0.899], [0.750, 0.728, 0.470], [0.750, 0.156, 0.101], [0.250, 0.272, 0.530], [0.750, 0.435, 0.838], [0.750, 0.400, 0.076], [0.750, 0.933, 0.098], [0.250, 0.555, 0.391], [0.250, 0.907, 0.528], [0.250, 0.067, 0.902], [0.750, 0.757, 0.256], [0.750, 0.093, 0.472], [0.750, 0.045, 0.707], [0.250, 0.955, 0.293], [0.750, 0.800, 0.734], [0.250, 0.600, 0.924], [0.750, 0.445, 0.609], [0.250, 0.243, 0.744], [0.250, 0.200, 0.266], [0.250, 0.565, 0.162]], "polymorph_energy_ev_per_fu": 0.00, "e_form_raw_ev_per_atom": -0.606, "n_ef_per_ev_atom": 0.534, "e_tot_ev_per_atom": -4.4474}

{"formula": "CaBiS2", "functional": "GGA-PBE", "state": "optimized geometry", "cell": [[2.331, 0.000, 8.307], [-1.165, 2.018, 8.307], [-1.165, -2.018, 8.307]], "species": ["S", "S", "Bi", "Ca"], "frac_coords": [[0.895, 0.895, 0.895], [0.105, 0.105, 0.105], [0.000, 0.000, 0.000], [0.500, 0.500, 0.500]], "e_form_raw_ev_per_atom": -0.830, "n_ef_per_ev_atom": 0.403, "e_tot_ev_per_atom": -4.3640}

{"formula": "Ca4BiS2", "functional": "GGA-PBE", "state": "optimized geometry", "cell": [[4.272, 0.000, 0.000], [-2.136, 6.709, 0.000], [0.000, 0.000, 13.780]], "species": ["Ca", "Ca", "Ca", "Bi", "S", "Ca", "S", "Ca", "Ca", "Bi", "S", "Ca", "S", "Ca"], "frac_coords": [[0.766, 0.532, 0.119], [0.934, 0.867, 0.750], [0.234, 0.468, 0.881], [0.610, 0.221, 0.750], [0.133, 0.266, 0.444], [0.066, 0.133, 0.250], [0.867, 0.734, 0.556], [0.766, 0.532, 0.381], [0.500, 0.000, 0.000], [0.390, 0.779, 0.250], [0.133, 0.266, 0.056], [0.234, 0.468, 0.619], [0.867, 0.734, 0.944], [0.500, 0.000, 0.500]], "e_form_raw_ev_per_atom": -1.477, "n_ef_per_ev_atom": 0.119, "e_tot_ev_per_atom": -4.3547}

{"formula": "Ca2BiS", "functional": "GGA-PBE", "state": "optimized geometry", "cell": [[7.930, 0.000, 0.000], [0.000, 7.930, 0.000], [3.965, 3.965, 3.894]], "species": ["Ca", "Bi", "S", "Bi", "Ca", "Ca", "Ca", "S"], "frac_coords": [[0.875, 0.824, 0.750], [0.750, 0.250, 0.500], [0.250, 0.750, 0.500], [0.000, 0.000, 0.000], [0.176, 0.625, 0.250], [0.375, 0.426, 0.750], [0.574, 0.125, 0.250], [0.500, 0.500, 0.000]], "polymorph_energy_ev_per_fu": 1.15, "e_form_raw_ev_per_atom": -1.097, "n_ef_per_ev_atom": 1.077, "e_tot_ev_per_atom": -4.1000}

{"formula": "CaBiS3", "functional": "GGA-PBE", "state": "optimized geometry", "cell": [[5.131, 0.000, 0.000], [0.000, 5.131, 0.000], [0.000, 0.000, 5.131]], "species": ["Bi", "S", "S", "S", "Ca"], "frac_coords": [[0.500, 0.500, 0.500], [0.000, 0.500, 0.000], [0.000, 0.000, 0.500], [0.500, 0.000, 0.000], [0.000, 0.000, 0.000]], "polymorph_energy_ev_per_fu": 4.45, "e_form_raw_ev_per_atom": -0.007, "n_ef_per_ev_atom": 1.298, "e_tot_ev_per_atom": -3.6602}

{"formula": "Ca2BiS", "functional": "GGA-PBE", "state": "optimized geometry", "cell": [[4.079, 0.000, 0.000], [2.040, 3.533, 0.000], [2.040, 1.178, 7.810]], "species": ["Ca", "Bi", "S", "Ca"], "frac_coords": [[0.736, 0.736, 0.792], [0.500, 0.500, 0.500], [0.000, 0.000, 0.000], [0.264, 0.264, 0.208]], "polymorph_energy_ev_per_fu": 0.00, "e_form_raw_ev_per_atom": -1.386, "n_ef_per_ev_atom": 0.206, "e_tot_ev_per_atom": -4.3887}

{"formula": "Ca2BiS", "functional": "GGA-PBE", "state": "optimized geometry", "cell": [[4.047, 0.000, 0.000], [2.024, 3.505, 0.000], [2.024, 1.168, 7.976]], "species": ["Bi", "Ca", "S", "Ca"], "frac_coords": [[0.499, 0.499, 0.502], [0.069, 0.069, 0.793], [0.668, 0.668, 0.997], [0.264, 0.264, 0.208]], "polymorph_energy_ev_per_fu": 0.16, "e_form_raw_ev_per_atom": -1.346, "n_ef_per_ev_atom": 0.182, "e_tot_ev_per_atom": -4.3492}